A plane-wave DFT calculation with PBE was carried out for crystalline Mn2NiN2 at its relaxed geometry.

Properties
* raw formation energy: -188 meV/atom
* calculated density: 6.9 g/cm3
* crystal system: tetragonal
* space group: No. 139

Cell: 6.1608 6.1608 6.1608 Å, 153.22 153.22 38.23°
Positions (direct):
1 Mn 0.1595 0.1595 0.0000
2 Mn 0.8405 0.8405 0.0000
3 Ni 0.5000 0.5000 0.0000
4 N 0.3396 0.3396 0.0000
5 N 0.6604 0.6604 0.0000

=====

A plane-wave DFT calculation with PBE was carried out for crystalline Cs3Ho2USe6 at its relaxed geometry.

Properties
* raw formation energy: -1531 meV/atom
* calculated density: 6.0 g/cm3
* crystal system: monoclinic
* space group: No. 12

Cell: 7.4124 7.4124 8.7439 Å, 98.12 98.12 120.00°
Positions (direct):
1 Cs 0.0000 0.0000 0.0000
2 Cs 0.3334 0.6666 0.0000
3 Cs 0.6666 0.3334 0.0000
4 Ho 0.1667 0.8333 0.5000
5 Ho 0.8333 0.1667 0.5000
6 U 0.5000 0.5000 0.5000
7 Se 0.1003 0.4381 0.3141
8 Se 0.2241 0.2241 0.6858
9 Se 0.4381 0.1003 0.3141
10 Se 0.5619 0.8997 0.6859
11 Se 0.7759 0.7759 0.3142
12 Se 0.8997 0.5619 0.6859